[1]
SmDy2Br after structural relaxation. Source: the Alexandria database, functional GGA-PBE.

Computed properties:
ΔE_f (raw): -0.92 eV/f.u.
total DFT energy (no corrections): -4.130 eV/atom

Cell: 3.4950 3.4950 11.6586 Å, 81.38 81.38 60.00°
With the nearest neighbours (Å) after each atom.
Sites, in units of the cell vectors:
1 Br 0.5000 0.5000 0.5000  6 Dy 3.10
2 Sm 0.0000 0.0000 0.0000  2 Dy 3.38, 6 Sm 3.50
3 Dy 0.0982 0.0982 0.7054  3 Br 3.10, 1 Sm 3.38
4 Dy 0.9018 0.9018 0.2946  3 Br 3.10, 1 Sm 3.38

=====

[2]
Pm8Ge5Pd after structural relaxation. Source: the Alexandria database, functional GGA-PBE.

Computed properties:
energy relative to the elements: -0.772 eV/atom
total DFT energy (no corrections): -5.506 eV/atom

Cell: 7.8716 7.8716 7.8716 Å, 109.84 108.74 109.84°
With the nearest neighbours (Å) after each atom.
Sites, in units of the cell vectors:
1 Pm 0.1299 0.7500 0.0057  1 Pd 2.94, 2 Ge 2.96-3.00
2 Pm 0.9943 0.1242 0.7444  1 Pd 2.94, 2 Ge 2.96-3.00
3 Pm 0.7498 0.2447 0.3656  5 Ge 2.96-3.32
4 Pm 0.6344 0.3842 0.8791  5 Ge 2.96-3.32
5 Pm 0.4949 0.6158 0.2502  5 Ge 2.96-3.32
6 Pm 0.6201 0.8758 0.8701  1 Pd 2.94, 2 Ge 2.96-3.00
7 Pm 0.2556 0.2500 0.3799  1 Pd 2.94, 2 Ge 2.96-3.00
8 Pm 0.1209 0.7553 0.5051  5 Ge 2.96-3.32
9 Ge 0.0006 0.3738 0.1277  6 Pm 2.96-3.32
10 Ge 0.8723 0.8729 0.2461  6 Pm 2.96-3.32
11 Ge 0.7539 0.6262 0.6268  6 Pm 2.96-3.32
12 Ge 0.5000 0.0000 0.5000  4 Pm 2.97
13 Ge 0.3732 0.1271 0.9994  6 Pm 2.96-3.32
14 Pd 0.2500 0.5000 0.7500  4 Pm 2.94

=====

[3]
BaZr2Cd after structural relaxation. Source: the Alexandria database, functional GGA-PBE.

Computed properties:
energy relative to the elements: 0.424 eV/atom
total DFT energy (no corrections): -4.560 eV/atom

Cell: 11.3119 11.3119 11.3119 Å, 17.00 17.00 17.00°
With the nearest neighbours (Å) after each atom.
Sites, in units of the cell vectors:
1 Ba 0.2500 0.2500 0.2500  6 Ba 3.34, 6 Zr 3.63
2 Cd 0.7500 0.7500 0.7500  6 Zr 3.16, 6 Cd 3.34
3 Zr 0.0086 0.0086 0.0086  3 Cd 3.16, 6 Zr 3.34
4 Zr 0.4914 0.4914 0.4914  3 Cd 3.16, 6 Zr 3.34

=====

[4]
Ac8AlTl6 after structural relaxation. Source: the Alexandria database, functional GGA-PBE.

Computed properties:
energy relative to the elements: -0.173 eV/atom
total DFT energy (no corrections): -3.561 eV/atom

Cell: 10.1093 10.1093 8.8897 Å, 55.35 55.35 60.00°
With the nearest neighbours (Å) after each atom.
Sites, in units of the cell vectors:
1 Ac 0.6450 0.1616 0.2997  1 Al 3.30, 5 Tl 3.39-3.66
2 Ac 0.8384 0.1063 0.7003  1 Al 3.30, 5 Tl 3.39-3.66
3 Ac 0.1063 0.3550 0.7003  1 Al 3.30, 5 Tl 3.39-3.66
4 Ac 0.6833 0.6833 0.9500  6 Tl 3.39-3.46
5 Ac 0.3167 0.3167 0.0500  6 Tl 3.39-3.46
6 Ac 0.8937 0.6450 0.2997  1 Al 3.30, 5 Tl 3.39-3.66
7 Ac 0.1616 0.8937 0.2997  1 Al 3.30, 5 Tl 3.39-3.66
8 Ac 0.3550 0.8384 0.7003  1 Al 3.30, 5 Tl 3.39-3.66
9 Al 0.0000 0.0000 0.0000  6 Ac 3.30
10 Tl 0.4457 0.0781 0.8023  7 Ac 3.39-3.66, 1 Tl 3.52
11 Tl 0.9219 0.3262 0.1977  7 Ac 3.39-3.66, 1 Tl 3.52
12 Tl 0.3262 0.5543 0.1977  7 Ac 3.39-3.66, 1 Tl 3.52
13 Tl 0.6738 0.4457 0.8023  7 Ac 3.39-3.66, 1 Tl 3.52
14 Tl 0.0781 0.6738 0.8023  7 Ac 3.39-3.66, 1 Tl 3.52
15 Tl 0.5543 0.9219 0.1977  7 Ac 3.39-3.66, 1 Tl 3.52

=====

[5]
HoAu5 after structural relaxation. Source: the Alexandria database, functional GGA-PBE.

Computed properties:
energy relative to the elements: -0.436 eV/atom
total DFT energy (no corrections): -3.930 eV/atom

Cell: 4.1715 5.1937 6.1668 Å, 105.80 90.00 113.68°
With the nearest neighbours (Å) after each atom.
Sites, in units of the cell vectors:
1 Ho 0.0000 0.0000 0.0000  12 Au 3.00-3.08
2 Au 0.3333 0.6667 0.1717  9 Au 2.99-3.15, 3 Ho 3.00-3.03
3 Au 0.0000 0.0000 0.5000  10 Au 2.96-3.05, 2 Ho 3.08
4 Au 0.6667 0.3333 0.8283  9 Au 2.99-3.15, 3 Ho 3.00-3.03
5 Au 0.6644 0.3287 0.3373  10 Au 2.96-3.15, 2 Ho 3.03
6 Au 0.3356 0.6713 0.6627  10 Au 2.96-3.15, 2 Ho 3.03

=====

[6]
InOs2Cl after structural relaxation. Source: the Alexandria database, functional GGA-PBE.

Computed properties:
ΔE_f (raw): 4.87 eV/f.u.
total DFT energy (no corrections): -5.542 eV/atom
offset from the most stable computed form: 953 meV per atom

Cell: 3.0948 3.0948 6.6721 Å, 90.00 90.00 90.00°
With the nearest neighbours (Å) after each atom.
Sites, in units of the cell vectors:
1 Cl 0.5000 0.5000 0.2500  8 Os 2.67
2 Os 0.0000 0.0000 0.0211  4 Cl 2.67, 4 In 2.84
3 Os 0.0000 0.0000 0.4789  4 Cl 2.67, 4 In 2.84
4 In 0.5000 0.5000 0.7500  8 Os 2.84, 4 In 3.09